(1)
First-principles (PBE-GGA) data for a relaxed structure of Y3Cd4Pt4, as listed in Alexandria.

Cell: 3.723 8.053 9.213 Å, 115.91 101.66 90.00°
Sites, in units of the cell vectors:
Y  0.108  0.108  0.216
Y  0.892  0.892  0.784
Y  0.000  0.500  0.000
Cd  0.334  0.147  0.669
Cd  0.666  0.478  0.331
Cd  0.666  0.853  0.331
Cd  0.334  0.522  0.669
Pt  0.255  0.755  0.510
Pt  0.745  0.245  0.490
Pt  0.500  0.797  0.000
Pt  0.500  0.203  0.000

Results
* SG: Immm, No. 71
* crystal system: orthorhombic
* magnetic moment: 0.00 Bohr magnetons per cell
* E: -5.04 eV/atom
* theoretical density: 10266 kg/m³
* calculated formation energy: -745 meV/atom

(2)
First-principles (PBE-GGA) data for a relaxed structure of Ca2CuPdO4, as listed in Alexandria.

Cell: 5.184 5.184 5.184 Å, 106.22 111.12 111.12°
Last column: magnetic moment on the atom in μB.
Sites, in units of the cell vectors:
Ca  0.500  0.750  0.250  0.00
Ca  0.000  0.000  0.000  0.00
Cu  0.000  0.500  0.500  0.49
Pd  0.500  0.250  0.750  0.13
O  0.633  0.520  0.548  0.09
O  0.028  0.113  0.480  0.09
O  0.972  0.452  0.084  0.09
O  0.367  0.916  0.887  0.09

Results
* SG: I-4, No. 82
* crystal system: tetragonal
* ΔE_f (raw): -1199 kJ/mol of formula units
* magnetic moment: 1.06 Bohr magnetons per cell
* E: -5.69 eV/atom
* theoretical density: 4875 kg/m³

(3)
First-principles (PBE-GGA) data for a relaxed structure of Cs3SnGe2I9, as listed in Alexandria.

Cell: 8.601 8.601 10.536 Å, 90.00 90.00 120.00°
Sites, in units of the cell vectors:
Cs  0.333  0.667  0.670
Cs  0.000  0.000  0.000
Cs  0.667  0.333  0.330
Sn  0.000  0.000  0.500
Ge  0.333  0.667  0.160
Ge  0.667  0.333  0.840
I  0.829  0.171  0.673
I  0.829  0.658  0.673
I  0.342  0.171  0.673
I  0.658  0.829  0.327
I  0.171  0.342  0.327
I  0.171  0.829  0.327
I  0.500  0.000  0.000
I  0.000  0.500  0.000
I  0.500  0.500  0.000

Results
* SG: P-3m1, No. 164
* crystal system: trigonal
* ΔE_f (raw): -1243 kJ/mol of formula units
* magnetic moment: 0.00 Bohr magnetons per cell
* E: -2.84 eV/atom
* theoretical density: 4441 kg/m³

(4)
First-principles (PBE-GGA) data for a relaxed structure of Cs3KBr2O, as listed in Alexandria.

Cell: 5.341 5.843 10.099 Å, 106.82 105.33 90.00°
Sites, in units of the cell vectors:
Cs  0.000  0.500  0.000
Cs  0.153  0.153  0.307
Cs  0.847  0.847  0.693
K  0.500  0.000  0.000
Br  0.640  0.640  0.280
Br  0.360  0.360  0.720
O  0.000  0.000  0.000

Results
* SG: Immm, No. 71
* crystal system: orthorhombic
* ΔE_f (raw): -976 kJ/mol of formula units
* magnetic moment: 0.00 Bohr magnetons per cell
* E: -3.15 eV/atom
* theoretical density: 3514 kg/m³

(5)
First-principles (PBE-GGA) data for a relaxed structure of Sc2In2Hg3, as listed in Alexandria.

Cell: 7.667 7.667 7.667 Å, 109.47 109.47 109.47°
Sites, in units of the cell vectors:
Sc  0.000  0.000  0.435
Sc  0.500  0.435  0.500
Sc  0.565  0.065  0.065
Sc  0.935  0.500  0.000
In  0.000  0.000  0.833
In  0.500  0.833  0.500
In  0.167  0.667  0.667
In  0.333  0.500  0.000
Hg  0.707  0.750  0.957
Hg  0.793  0.250  0.543
Hg  0.043  0.293  0.250
Hg  0.457  0.207  0.750
Hg  0.250  0.957  0.207
Hg  0.750  0.543  0.293

Results
* SG: I2_13, No. 199
* crystal system: cubic
* magnetic moment: 0.00 Bohr magnetons per cell
* E: -2.82 eV/atom
* theoretical density: 8821 kg/m³
* calculated formation energy: -96 meV/atom

(6)
First-principles (PBE-GGA) data for a relaxed structure of SrGa4Ag3, as listed in Alexandria.

Cell: 4.537 4.537 8.523 Å, 90.00 90.00 89.92°
Sites, in units of the cell vectors:
Sr  0.000  0.000  0.500
Ag  0.000  0.000  0.000
Ag  0.500  0.500  0.338
Ag  0.500  0.500  0.662
Ga  0.000  0.500  0.170
Ga  0.000  0.500  0.830
Ga  0.500  0.000  0.830
Ga  0.500  0.000  0.170

Results
* SG: Cmmm, No. 65
* crystal system: orthorhombic
* magnetic moment: 0.00 Bohr magnetons per cell
* E: -2.96 eV/atom
* theoretical density: 6533 kg/m³
* calculated formation energy: -168 meV/atom

(7)
First-principles (PBE-GGA) data for a relaxed structure of SrNd4Te6, as listed in Alexandria.

Cell: 4.496 7.720 23.220 Å, 90.00 90.00 106.93°
Sites, in units of the cell vectors:
Sr  0.661  0.321  0.250
Sr  0.339  0.679  0.750
Nd  0.860  0.720  0.538
Nd  0.411  0.821  0.128
Nd  0.140  0.280  0.462
Nd  0.589  0.179  0.872
Nd  0.860  0.720  0.962
Nd  0.140  0.280  0.038
Nd  0.589  0.179  0.628
Nd  0.411  0.821  0.372
Te  0.500  0.000  0.000
Te  0.500  0.000  0.500
Te  0.050  0.100  0.337
Te  0.950  0.900  0.663
Te  0.950  0.900  0.837
Te  0.050  0.100  0.163
Te  0.769  0.539  0.411
Te  0.231  0.461  0.589
Te  0.231  0.461  0.911
Te  0.769  0.539  0.089
Te  0.324  0.648  0.250
Te  0.676  0.352  0.750

Results
* SG: Cmcm, No. 63
* crystal system: orthorhombic
* ΔE_f (raw): -1581 kJ/mol of formula units
* magnetic moment: 0.00 Bohr magnetons per cell
* E: -5.09 eV/atom
* theoretical density: 6160 kg/m³

(8)
First-principles (PBE-GGA) data for a relaxed structure of LiCa2ScAl, as listed in Alexandria.

Cell: 5.813 4.931 5.813 Å, 90.00 90.00 90.00°
Last column: magnetic moment on the atom in μB.
Sites, in units of the cell vectors:
Sc  0.500  0.500  0.500  0.54
Ca  0.000  0.000  0.500  0.02
Ca  0.500  0.000  0.000  0.01
Al  0.000  0.000  0.000  -0.03
Li  0.000  0.500  0.000  -0.01

Results
* SG: P4/mmm, No. 123
* crystal system: tetragonal
* magnetic moment: 1.01 Bohr magnetons per cell
* E: -2.76 eV/atom
* theoretical density: 1585 kg/m³
* calculated formation energy: 440 meV/atom